[1]
Below is a geometry-optimized LuIO structure, with properties calculated at the PBE level.

- Total DFT energy (no corrections): -6.1090 eV/atom
- Calculated density: 7.60 Mg/m³
- Volume: 23.16 Å³ per atom

abc: 6.4131 5.9987 7.2240
angles: 90.00 90.24 90.00
Last column: nearest neighbours and their distance in Å.
Fractional positions:
1 Lu 0.1478 0.0988 0.3437  3 O 2.14-2.16
2 Lu 0.1478 0.4012 0.8437  3 O 2.14-2.16
3 Lu 0.8522 0.5988 0.1563  3 O 2.14-2.16
4 Lu 0.8522 0.9012 0.6563  3 O 2.14-2.16
5 I 0.3899 0.7449 0.6121  3 Lu 3.08-3.26, 2 O 3.35-3.39
6 I 0.3899 0.7551 0.1121  3 Lu 3.08-3.26, 2 O 3.35-3.39
7 I 0.6101 0.2449 0.8879  3 Lu 3.08-3.26, 2 O 3.35-3.39
8 I 0.6101 0.2551 0.3879  3 Lu 3.08-3.26, 2 O 3.35-3.39
9 O 0.0618 0.1783 0.6252  3 Lu 2.14-2.16
10 O 0.0618 0.3217 0.1252  3 Lu 2.14-2.16
11 O 0.9382 0.6783 0.8748  3 Lu 2.14-2.16
12 O 0.9382 0.8217 0.3748  3 Lu 2.14-2.16

[2]
Below is a geometry-optimized LuIO structure, with properties calculated at the PBE level.

- Total DFT energy (no corrections): -6.3900 eV/atom
- Calculated density: 7.87 Mg/m³
- Volume: 22.35 Å³ per atom

abc: 3.8453 3.8453 9.0709
angles: 90.00 90.00 90.00
Last column: nearest neighbours and their distance in Å.
Fractional positions:
1 Lu 0.2500 0.2500 0.1164  4 O 2.19
2 Lu 0.7500 0.7500 0.8836  4 O 2.19
3 I 0.2500 0.2500 0.6746  4 Lu 3.31, 4 O 3.52
4 I 0.7500 0.7500 0.3254  4 Lu 3.31, 4 O 3.52
5 O 0.2500 0.7500 0.0000  4 Lu 2.19
6 O 0.7500 0.2500 0.0000  4 Lu 2.19

[3]
Below is a geometry-optimized LuIO structure, with properties calculated at the PBE level.

- Total DFT energy (no corrections): -6.1775 eV/atom
- Calculated density: 7.40 Mg/m³
- Volume: 23.77 Å³ per atom

abc: 6.9814 12.9804 12.5918
angles: 90.00 90.00 90.00
Last column: nearest neighbours and their distance in Å.
Fractional positions:
1 Lu 0.1241 0.1687 0.1839  3 O 2.06-2.14
2 Lu 0.1241 0.3313 0.6839  3 O 2.06-2.14
3 Lu 0.1762 0.0006 0.9110  3 O 2.09-2.19
4 Lu 0.1762 0.4994 0.4110  3 O 2.09-2.19
5 Lu 0.3238 0.5006 0.9110  3 O 2.09-2.19
6 Lu 0.3238 0.9994 0.4110  3 O 2.09-2.19
7 Lu 0.3759 0.6687 0.1839  3 O 2.06-2.14
8 Lu 0.3759 0.8313 0.6839  3 O 2.06-2.14
9 Lu 0.6241 0.1687 0.3161  3 O 2.06-2.14
10 Lu 0.6241 0.3313 0.8161  3 O 2.06-2.14
11 Lu 0.6762 0.0006 0.5890  3 O 2.09-2.19
12 Lu 0.6762 0.4994 0.0890  3 O 2.09-2.19
13 Lu 0.8238 0.5006 0.5890  3 O 2.09-2.19
14 Lu 0.8238 0.9994 0.0890  3 O 2.09-2.19
15 Lu 0.8759 0.6687 0.3161  3 O 2.06-2.14
16 Lu 0.8759 0.8313 0.8161  3 O 2.06-2.14
17 I 0.0312 0.1570 0.4880  2 Lu 3.05-3.41, 1 O 3.36
18 I 0.0312 0.3430 0.9880  2 Lu 3.05-3.41, 1 O 3.36
19 I 0.1056 0.6355 0.7208  4 Lu 3.11-3.33, 2 O 3.43-3.45
20 I 0.1056 0.8645 0.2208  4 Lu 3.11-3.33, 2 O 3.43-3.45
21 I 0.3944 0.1355 0.7208  4 Lu 3.11-3.33, 2 O 3.43-3.45
22 I 0.3944 0.3645 0.2208  4 Lu 3.11-3.33, 2 O 3.43-3.45
23 I 0.4688 0.6570 0.4880  2 Lu 3.05-3.41, 1 O 3.36
24 I 0.4688 0.8430 0.9880  2 Lu 3.05-3.41, 1 O 3.36
25 I 0.5312 0.1570 0.0120  2 Lu 3.05-3.41, 1 O 3.36
26 I 0.5312 0.3430 0.5120  2 Lu 3.05-3.41, 1 O 3.36
27 I 0.6056 0.6355 0.7792  4 Lu 3.11-3.33, 2 O 3.43-3.45
28 I 0.6056 0.8645 0.2792  4 Lu 3.11-3.33, 2 O 3.43-3.45
29 I 0.8944 0.1355 0.7792  4 Lu 3.11-3.33, 2 O 3.43-3.45
30 I 0.8944 0.3645 0.2792  4 Lu 3.11-3.33, 2 O 3.43-3.45
31 I 0.9688 0.6570 0.0120  2 Lu 3.05-3.41, 1 O 3.36
32 I 0.9688 0.8430 0.5120  2 Lu 3.05-3.41, 1 O 3.36
33 O 0.0805 0.0751 0.0535  3 Lu 2.06-2.15
34 O 0.0805 0.4249 0.5535  3 Lu 2.06-2.15
35 O 0.1522 0.6070 0.2779  3 Lu 2.12-2.19
36 O 0.1522 0.8930 0.7779  3 Lu 2.12-2.19
37 O 0.3478 0.1070 0.2779  3 Lu 2.12-2.19
38 O 0.3478 0.3930 0.7779  3 Lu 2.12-2.19
39 O 0.4195 0.5751 0.0535  3 Lu 2.06-2.15
40 O 0.4195 0.9249 0.5535  3 Lu 2.06-2.15
41 O 0.5805 0.0751 0.4465  3 Lu 2.06-2.15
42 O 0.5805 0.4249 0.9465  3 Lu 2.06-2.15
43 O 0.6522 0.6070 0.2221  3 Lu 2.12-2.19
44 O 0.6522 0.8930 0.7221  3 Lu 2.12-2.19
45 O 0.8478 0.1070 0.2221  3 Lu 2.12-2.19
46 O 0.8478 0.3930 0.7221  3 Lu 2.12-2.19
47 O 0.9195 0.5751 0.4465  3 Lu 2.06-2.15
48 O 0.9195 0.9249 0.9465  3 Lu 2.06-2.15

[4]
Below is a geometry-optimized LuIO structure, with properties calculated at the PBE level.

- Total DFT energy (no corrections): -5.7941 eV/atom
- Calculated density: 8.19 Mg/m³
- Volume: 21.48 Å³ per atom

abc: 8.0398 7.1607 6.7402
angles: 70.60 57.15 52.25
Last column: nearest neighbours and their distance in Å.
Fractional positions:
1 Lu 0.0232 0.7268 0.0232  2 O 2.12
2 Lu 0.2732 0.9768 0.2732  2 O 2.12
3 Lu 0.7268 0.0232 0.7268  2 O 2.12
4 Lu 0.9768 0.2732 0.9768  2 O 2.12
5 I 0.0000 0.5000 0.5000  4 Lu 3.04-3.36, 2 O 3.30, 2 I 3.37
6 I 0.5000 0.0000 0.5000  4 Lu 3.04-3.36, 2 O 3.30, 2 I 3.37
7 I 0.5000 0.5000 0.0000  4 Lu 3.04-3.36, 2 O 3.30, 2 I 3.37
8 I 0.5000 0.5000 0.5000  4 Lu 3.04-3.36, 2 O 3.30, 2 I 3.37
9 O 0.0086 0.0086 0.2414  2 Lu 2.12
10 O 0.2414 0.2414 0.0086  2 Lu 2.12
11 O 0.7586 0.7586 0.9914  2 Lu 2.12
12 O 0.9914 0.9914 0.7586  2 Lu 2.12

[5]
Below is a geometry-optimized LuIO structure, with properties calculated at the PBE level.

- Total DFT energy (no corrections): -6.3696 eV/atom
- Calculated density: 6.90 Mg/m³
- Volume: 25.49 Å³ per atom

abc: 3.8537 4.1021 9.6736
angles: 90.00 90.00 90.00
Last column: nearest neighbours and their distance in Å.
Fractional positions:
1 Lu 0.2500 0.2500 0.0990  4 O 2.19-2.25
2 Lu 0.7500 0.7500 0.9010  4 O 2.19-2.25
3 I 0.2500 0.7500 0.6658  2 Lu 2.98
4 I 0.7500 0.2500 0.3342  2 Lu 2.98
5 O 0.2500 0.7500 0.0210  4 Lu 2.19-2.25
6 O 0.7500 0.2500 0.9790  4 Lu 2.19-2.25

[6]
Below is a geometry-optimized LuI3O9 structure, with properties calculated at the PBE level.

- Total DFT energy (no corrections): -5.1170 eV/atom
- Calculated density: 6.34 Mg/m³
- Volume: 14.09 Å³ per atom

abc: 8.5433 5.9113 15.9845
angles: 90.00 114.81 90.00
Last column: nearest neighbours and their distance in Å.
Fractional positions:
1 Lu 0.1454 0.2201 0.1050  7 O 2.21-2.34
2 Lu 0.1454 0.2799 0.6050  7 O 2.21-2.34
3 Lu 0.8546 0.7201 0.3950  7 O 2.21-2.34
4 Lu 0.8546 0.7799 0.8950  7 O 2.21-2.34
5 I 0.0787 0.1932 0.3535  3 O 1.82-1.86
6 I 0.0787 0.3068 0.8535  3 O 1.82-1.86
7 I 0.3589 0.6576 0.5229  3 O 1.85-1.88
8 I 0.3589 0.8424 0.0229  3 O 1.85-1.88
9 I 0.4183 0.5978 0.7985  3 O 1.84-1.85
10 I 0.4183 0.9022 0.2985  3 O 1.84-1.85
11 I 0.5817 0.0978 0.7015  3 O 1.84-1.85
12 I 0.5817 0.4022 0.2015  3 O 1.84-1.85
13 I 0.6411 0.1576 0.9771  3 O 1.85-1.88
14 I 0.6411 0.3424 0.4771  3 O 1.85-1.88
15 I 0.9213 0.6932 0.1465  3 O 1.82-1.86
16 I 0.9213 0.8068 0.6465  3 O 1.82-1.86
17 O 0.0605 0.0570 0.6921  1 I 1.85
18 O 0.0605 0.4430 0.1921  1 I 1.85
19 O 0.0985 0.5971 0.6738  1 I 1.86
20 O 0.0985 0.9029 0.1738  1 I 1.86
21 O 0.1208 0.1284 0.4722  1 I 1.82
22 O 0.1208 0.3716 0.9722  1 I 1.82
23 O 0.1237 0.6320 0.4859  1 I 1.85
24 O 0.1237 0.8680 0.9859  1 I 1.85
25 O 0.3438 0.1911 0.2593  1 I 1.84
26 O 0.3438 0.3089 0.7593  1 I 1.84
27 O 0.3442 0.5863 0.8918  1 I 1.85
28 O 0.3442 0.9137 0.3918  1 I 1.85
29 O 0.3525 0.0666 0.9382  1 I 1.88
30 O 0.3525 0.4334 0.4382  1 I 1.88
31 O 0.3565 0.0027 0.6364  1 I 1.85
32 O 0.3565 0.4973 0.1364  1 I 1.85
33 O 0.3908 0.0316 0.1215  1 I 1.86
34 O 0.3908 0.4684 0.6215  1 I 1.86
35 O 0.6092 0.5316 0.3785  1 I 1.86
36 O 0.6092 0.9684 0.8785  1 I 1.86
37 O 0.6435 0.5027 0.8636  1 I 1.85
38 O 0.6435 0.9973 0.3636  1 I 1.85
39 O 0.6475 0.5666 0.5618  1 I 1.88
40 O 0.6475 0.9334 0.0618  1 I 1.88
41 O 0.6558 0.0863 0.6082  1 I 1.85
42 O 0.6558 0.4137 0.1082  1 I 1.85
43 O 0.6562 0.6911 0.2407  1 I 1.84
44 O 0.6562 0.8089 0.7407  1 I 1.84
45 O 0.8763 0.1320 0.0141  1 I 1.85
46 O 0.8763 0.3680 0.5141  1 I 1.85
47 O 0.8792 0.6284 0.0278  1 I 1.82
48 O 0.8792 0.8716 0.5278  1 I 1.82
49 O 0.9015 0.0971 0.8262  1 I 1.86
50 O 0.9015 0.4029 0.3262  1 I 1.86
51 O 0.9395 0.5570 0.8079  1 I 1.85
52 O 0.9395 0.9430 0.3079  1 I 1.85